No. 1
Compound: Nb3V4Ga2
Source: the Alexandria database
Functional: PBE-GGA
Structure: relaxed

Cell: 4.4227 4.4227 8.2242 Å, 90.00 90.00 120.00°
Closest atoms and distances in Å follow each position.
Space group P-3m1 (No. 164)
Unique sites:
Nb (0.0000, 0.0000, 0.0000) (multiplicity 1)  8 V 2.69-2.79
Nb (0.3333, 0.6667, 0.5704) (multiplicity 2)  4 V 2.66-2.69, 3 Nb 2.80, 1 Ga 2.88
V (0.0000, 0.0000, 0.3393) (multiplicity 2)  1 V 2.64, 4 Nb 2.66-2.79, 3 Ga 2.73
V (0.3333, 0.6667, 0.8969) (multiplicity 2)  4 Ga 2.66-2.73, 4 Nb 2.69
Ga (0.3333, 0.6667, 0.2202) (multiplicity 2)  7 V 2.66-2.73, 1 Nb 2.88

Properties
For the size of the total moment, the calculation gives 1.55 μB/cell. The density of states at the Fermi level is 9.22 states/eV/f.u. The calculation puts the calculated volume at 15.5 Å³/atom. The energy of formation comes out at -7 kJ/mol of atoms.

No. 2
Compound: POs
Source: the Alexandria database
Functional: PBE-GGA
Structure: relaxed

Cell: 7.1438 7.1438 7.1438 Å, 90.00 90.00 90.00°
Closest atoms and distances in Å follow each position.
Space group I-43m (No. 217)
Unique sites:
P (0.1796, 0.1796, 0.1796) (multiplicity 8)  4 Os 2.25-2.31
Os (0.1388, 0.1388, 0.8612) (multiplicity 8)  4 P 2.25-2.31

Properties
For the size of the total moment, the calculation gives 0.00 μB/cell. The density of states at the Fermi level is 1.17 states/eV/f.u. The calculation puts the calculated volume at 22.8 Å³/atom. The energy of formation comes out at 5 kJ/mol of atoms.

No. 3
Compound: Na2TaAs
Source: the Alexandria database
Functional: PBE-GGA
Structure: relaxed

Cell: 9.0758 9.0758 5.0668 Å, 90.00 90.00 90.00°
Closest atoms and distances in Å follow each position.
Space group I-42d (No. 122)
Unique sites:
Na (0.1799, 0.7500, 0.1250) (multiplicity 8)  2 Na 2.83, 2 As 2.87
Ta (0.0000, 0.0000, 0.5000) (multiplicity 4)  2 As 2.53
As (0.0000, 0.0000, 0.0000) (multiplicity 4)  2 Ta 2.53

Properties
For the size of the total moment, the calculation gives 8.00 μB/cell. The density of states at the Fermi level is 2.06 states/eV/f.u. The calculation puts the calculated volume at 26.1 Å³/atom. The energy of formation comes out at 61 kJ/mol of atoms.

No. 4
Compound: La2SbTe
Source: the Alexandria database
Functional: PBE-GGA
Structure: relaxed

Cell: 4.6196 4.6196 11.7497 Å, 90.00 90.00 90.00°
Closest atoms and distances in Å follow each position.
Space group I-4m2 (No. 119)
Unique sites:
La (0.0000, 0.0000, 0.0000) (multiplicity 2)  4 Te 3.27
La (0.0000, 0.5000, 0.2500) (multiplicity 2)  4 Sb 3.27
Sb (0.0000, 0.5000, 0.7500) (multiplicity 2)  4 La 3.27
Te (0.0000, 0.0000, 0.5000) (multiplicity 2)  4 La 3.27

Properties
The calculation puts the uncorrected formation energy at -1.090 eV/atom. For the size of the total moment, the calculation gives 0.00 μB/cell. The density of states at the Fermi level is 2.95 states/eV/f.u. The value obtained for the energy above the lowest structure with this stoichiometry is 386 meV per atom. The calculation puts the calculated volume at 31.3 Å³/atom.

Please write out number 4 again, unchanged.
Compound: La2SbTe
Source: the Alexandria database
Functional: PBE-GGA
Structure: relaxed

Cell: 4.6196 4.6196 11.7497 Å, 90.00 90.00 90.00°
Closest atoms and distances in Å follow each position.
Space group I-4m2 (No. 119)
Unique sites:
La (0.0000, 0.0000, 0.0000) (multiplicity 2)  4 Te 3.27
La (0.0000, 0.5000, 0.2500) (multiplicity 2)  4 Sb 3.27
Sb (0.0000, 0.5000, 0.7500) (multiplicity 2)  4 La 3.27
Te (0.0000, 0.0000, 0.5000) (multiplicity 2)  4 La 3.27

Properties
The calculation puts the uncorrected formation energy at -1.090 eV/atom. For the size of the total moment, the calculation gives 0.00 μB/cell. The density of states at the Fermi level is 2.95 states/eV/f.u. The value obtained for the energy above the lowest structure with this stoichiometry is 386 meV per atom. The calculation puts the calculated volume at 31.3 Å³/atom.

Which of these has the highest calculated volume? La2SbTe